Record 1
Here is a PBEsol-optimized structure of Co2NiS4 from the Alexandria database. Energies are from SCAN. Values from VASP.

```
&SYSTEM
  ibrav = 0, nat = 14, ntyp = 3
/
ATOMIC_SPECIES
Co 58.93 Co.upf
Ni 58.69 Ni.upf
S 32.06 S.upf
ATOMIC_POSITIONS crystal
Co 0.0000 0.0000 0.0000
Co 0.0000 0.0000 0.5000
Co 0.0000 0.5000 0.0000
Co 0.5000 0.0000 0.0000
Ni 0.3750 0.3750 0.3750
Ni 0.6250 0.6250 0.6250
S 0.2229 0.7590 0.7590
S 0.2410 0.2410 0.2410
S 0.2410 0.2410 0.7771
S 0.2410 0.7771 0.2410
S 0.7590 0.2229 0.7590
S 0.7590 0.7590 0.2229
S 0.7590 0.7590 0.7590
S 0.7771 0.2410 0.2410
CELL_PARAMETERS angstrom
0.0000 4.5948 4.5948
4.5948 0.0000 4.5948
4.5948 4.5948 0.0000
```

Calculated values
* space group: Fd-3m, No. 227
* total magnetization: 0.00 Bohr magnetons per cell
* volume: 13.86 A^3/atom
* formation energy (no corrections): -0.55 eV per atom



Record 2
Here is a PBEsol-optimized structure of MnBIO2 from the Alexandria database. Energies are from SCAN. Values from VASP.

```
&SYSTEM
  ibrav = 0, nat = 5, ntyp = 4
/
ATOMIC_SPECIES
Mn 54.94 Mn.upf
B 10.81 B.upf
I 126.90 I.upf
O 16.00 O.upf
ATOMIC_POSITIONS crystal
Mn 0.0000 0.0000 0.0000
B 0.5000 0.5000 0.5000
I 0.0000 0.0000 0.5000
O 0.0000 0.5000 0.0000
O 0.5000 0.0000 0.0000
CELL_PARAMETERS angstrom
3.5114 0.0000 0.0000
0.0000 3.5114 0.0000
0.0000 0.0000 5.7504
```

Calculated values
* space group: P4/mmm, No. 123
* total magnetization: 3.44 Bohr magnetons per cell
* volume: 14.18 A^3/atom
* formation energy (no corrections): 0.01 eV per atom



Record 3
Here is a PBEsol-optimized structure of LiZnHg2 from the Alexandria database. Energies are from SCAN. Values from VASP.

```
&SYSTEM
  ibrav = 0, nat = 4, ntyp = 3
/
ATOMIC_SPECIES
Li 6.94 Li.upf
Zn 65.41 Zn.upf
Hg 200.59 Hg.upf
ATOMIC_POSITIONS crystal
Li 0.0000 0.0000 0.0000
Zn 0.0000 0.0000 0.5000
Hg 0.5000 0.5000 0.2445
Hg 0.5000 0.5000 0.7555
CELL_PARAMETERS angstrom
3.4107 0.0000 0.0000
0.0000 3.4107 0.0000
0.0000 0.0000 6.1165
```

Calculated values
* space group: P4/mmm, No. 123
* total magnetization: 0.00 Bohr magnetons per cell
* ΔE_f: -0.19 eV/atom
* volume: 17.79 A^3/atom



Record 4
Here is a PBEsol-optimized structure of Cu3Pt from the Alexandria database. Energies are from SCAN. Values from VASP.

```
&SYSTEM
  ibrav = 0, nat = 4, ntyp = 2
/
ATOMIC_SPECIES
Cu 63.55 Cu.upf
Pt 195.08 Pt.upf
ATOMIC_POSITIONS crystal
Cu 0.0000 0.0000 0.0000
Cu 0.5000 0.5000 0.2299
Cu 0.5000 0.5000 0.7701
Pt 0.0000 0.0000 0.5000
CELL_PARAMETERS angstrom
2.8684 0.0000 0.0000
0.0000 2.8684 0.0000
0.0000 0.0000 5.9317
```

Calculated values
* space group: P4/mmm, No. 123
* total magnetization: 0.00 Bohr magnetons per cell
* ΔE_f: -0.09 eV/atom
* volume: 12.20 A^3/atom



Record 5
Here is a PBEsol-optimized structure of YPtAu2 from the Alexandria database. Energies are from SCAN. Values from VASP.

```
&SYSTEM
  ibrav = 0, nat = 4, ntyp = 3
/
ATOMIC_SPECIES
Y 88.91 Y.upf
Pt 195.08 Pt.upf
Au 196.97 Au.upf
ATOMIC_POSITIONS crystal
Y 0.0000 0.0000 0.0000
Pt 0.7500 0.2500 0.5000
Au 0.2500 0.7500 0.5000
Au 0.5000 0.5000 0.0000
CELL_PARAMETERS angstrom
-2.0535 2.0535 4.2897
2.0535 -2.0535 4.2897
2.0535 2.0535 -4.2897
```

Calculated values
* space group: I-4m2, No. 119
* total magnetization: 0.00 Bohr magnetons per cell
* ΔE_f: -0.88 eV/atom
* volume: 18.09 A^3/atom
* ΔE to the lowest computed polymorph: 0.05 eV per formula unit



Record 6
Here is a PBEsol-optimized structure of Mg3HgN from the Alexandria database. Energies are from SCAN. Values from VASP.

```
&SYSTEM
  ibrav = 0, nat = 5, ntyp = 3
/
ATOMIC_SPECIES
Mg 24.30 Mg.upf
Hg 200.59 Hg.upf
N 14.01 N.upf
ATOMIC_POSITIONS crystal
Mg 0.0000 0.0000 0.5000
Mg 0.0000 0.5000 0.0000
Mg 0.5000 0.0000 0.0000
Hg 0.5000 0.5000 0.5000
N 0.0000 0.0000 0.0000
CELL_PARAMETERS angstrom
4.3015 0.0000 0.0000
0.0000 4.3015 0.0000
0.0000 0.0000 4.3015
```

Calculated values
* space group: Pm-3m, No. 221
* total magnetization: 0.00 Bohr magnetons per cell
* volume: 15.92 A^3/atom
* formation energy (no corrections): -0.62 eV per atom



Record 7
Here is a PBEsol-optimized structure of Zn2Hg from the Alexandria database. Energies are from SCAN. Values from VASP.

```
&SYSTEM
  ibrav = 0, nat = 6, ntyp = 2
/
ATOMIC_SPECIES
Zn 65.41 Zn.upf
Hg 200.59 Hg.upf
ATOMIC_POSITIONS crystal
Zn 0.0000 0.0000 0.0000
Zn 0.0000 0.0000 0.5000
Zn 0.0000 0.5000 0.0000
Zn 0.5000 0.0000 0.0000
Hg 0.3750 0.3750 0.3750
Hg 0.6250 0.6250 0.6250
CELL_PARAMETERS angstrom
0.0000 3.7004 3.7004
3.7004 0.0000 3.7004
3.7004 3.7004 0.0000
```

Calculated values
* space group: Fd-3m, No. 227
* total magnetization: 0.00 Bohr magnetons per cell
* ΔE_f: 0.14 eV/atom
* volume: 16.89 A^3/atom



Record 8
Here is a PBEsol-optimized structure of Lu6WO12 from the Alexandria database. Energies are from SCAN. Values from VASP.

```
&SYSTEM
  ibrav = 0, nat = 19, ntyp = 3
/
ATOMIC_SPECIES
Lu 174.97 Lu.upf
W 183.84 W.upf
O 16.00 O.upf
ATOMIC_POSITIONS crystal
Lu 0.1122 0.8194 0.6439
Lu 0.1806 0.3561 0.8878
Lu 0.3561 0.8878 0.1806
Lu 0.6439 0.1122 0.8194
Lu 0.8194 0.6439 0.1122
Lu 0.8878 0.1806 0.3561
W 0.5000 0.5000 0.5000
O 0.0714 0.9113 0.3226
O 0.0887 0.6774 0.9286
O 0.1979 0.4186 0.5362
O 0.3226 0.0714 0.9113
O 0.4186 0.5362 0.1979
O 0.4638 0.8021 0.5814
O 0.5362 0.1979 0.4186
O 0.5814 0.4638 0.8021
O 0.6774 0.9286 0.0887
O 0.8021 0.5814 0.4638
O 0.9113 0.3226 0.0714
O 0.9286 0.0887 0.6774
CELL_PARAMETERS angstrom
4.7446 2.7393 3.0078
-4.7446 2.7393 3.0078
0.0000 -5.4786 3.0078
```

Calculated values
* space group: R-3, No. 148
* total magnetization: 0.00 Bohr magnetons per cell
* volume: 12.34 A^3/atom
* formation energy (no corrections): -3.75 eV per atom



Record 9
Here is a PBEsol-optimized structure of BI3Cl from the Alexandria database. Energies are from SCAN. Values from VASP.

```
&SYSTEM
  ibrav = 0, nat = 5, ntyp = 3
/
ATOMIC_SPECIES
B 10.81 B.upf
I 126.90 I.upf
Cl 35.45 Cl.upf
ATOMIC_POSITIONS crystal
B 0.0000 0.0000 0.0000
I 0.0000 0.0000 0.5000
I 0.0000 0.5000 0.0000
I 0.5000 0.0000 0.0000
Cl 0.5000 0.5000 0.5000
CELL_PARAMETERS angstrom
4.9988 0.0000 0.0000
0.0000 4.9988 0.0000
0.0000 0.0000 4.9988
```

Calculated values
* space group: Pm-3m, No. 221
* total magnetization: 0.00 Bohr magnetons per cell
* volume: 24.98 A^3/atom
* formation energy (no corrections): 0.74 eV per atom



Record 10
Here is a PBEsol-optimized structure of Hf4Ni3As8 from the Alexandria database. Energies are from SCAN. Values from VASP.

```
&SYSTEM
  ibrav = 0, nat = 15, ntyp = 3
/
ATOMIC_SPECIES
Hf 178.49 Hf.upf
Ni 58.69 Ni.upf
As 74.92 As.upf
ATOMIC_POSITIONS crystal
Hf 0.0000 0.5000 0.1228
Hf 0.0000 0.5000 0.6316
Hf 0.5000 0.0000 0.3684
Hf 0.5000 0.0000 0.8772
Ni 0.0000 0.0000 0.0000
Ni 0.0000 0.0000 0.5000
Ni 0.5000 0.5000 0.5000
As 0.0000 0.0000 0.2450
As 0.0000 0.0000 0.7550
As 0.0000 0.5000 0.4165
As 0.0000 0.5000 0.9272
As 0.5000 0.0000 0.0728
As 0.5000 0.0000 0.5835
As 0.5000 0.5000 0.2453
As 0.5000 0.5000 0.7547
CELL_PARAMETERS angstrom
3.7823 0.0000 0.0000
0.0000 3.7823 0.0000
0.0000 0.0000 17.1216
```

Calculated values
* space group: P-4m2, No. 115
* total magnetization: 0.00 Bohr magnetons per cell
* ΔE_f: -0.74 eV/atom
* volume: 16.33 A^3/atom



Record 11
Here is a PBEsol-optimized structure of NaBrO3 from the Alexandria database. Energies are from SCAN. Values from VASP.

```
&SYSTEM
  ibrav = 0, nat = 20, ntyp = 3
/
ATOMIC_SPECIES
Na 22.99 Na.upf
Br 79.90 Br.upf
O 16.00 O.upf
ATOMIC_POSITIONS crystal
Na 0.0779 0.0779 0.0779
Na 0.4221 0.9221 0.5779
Na 0.5779 0.4221 0.9221
Na 0.9221 0.5779 0.4221
Br 0.0969 0.5969 0.9031
Br 0.4031 0.4031 0.4031
Br 0.5969 0.9031 0.0969
Br 0.9031 0.0969 0.5969
O 0.0097 0.2174 0.4026
O 0.0974 0.9903 0.7174
O 0.2174 0.4026 0.0097
O 0.2826 0.5974 0.5097
O 0.4026 0.0097 0.2174
O 0.4903 0.7826 0.9026
O 0.5097 0.2826 0.5974
O 0.5974 0.5097 0.2826
O 0.7174 0.0974 0.9903
O 0.7826 0.9026 0.4903
O 0.9026 0.4903 0.7826
O 0.9903 0.7174 0.0974
CELL_PARAMETERS angstrom
6.6664 0.0000 0.0000
0.0000 6.6664 0.0000
0.0000 0.0000 6.6664
```

Calculated values
* space group: P2_13, No. 198
* total magnetization: 0.00 Bohr magnetons per cell
* volume: 14.81 A^3/atom
* formation energy (no corrections): -0.66 eV per atom



Record 12
Here is a PBEsol-optimized structure of KRbIO2 from the Alexandria database. Energies are from SCAN. Values from VASP.

```
&SYSTEM
  ibrav = 0, nat = 5, ntyp = 4
/
ATOMIC_SPECIES
K 39.10 K.upf
Rb 85.47 Rb.upf
I 126.90 I.upf
O 16.00 O.upf
ATOMIC_POSITIONS crystal
K 0.0000 0.0000 0.0000
Rb 0.5000 0.5000 0.5000
I 0.5000 0.5000 0.0000
O 0.0000 0.5000 0.5000
O 0.5000 0.0000 0.5000
CELL_PARAMETERS angstrom
5.0785 0.0000 0.0000
0.0000 5.0785 0.0000
0.0000 0.0000 7.0988
```

Calculated values
* space group: P4/mmm, No. 123
* total magnetization: 3.05 Bohr magnetons per cell
* volume: 36.62 A^3/atom
* formation energy (no corrections): -0.36 eV per atom



Repeat the eleventh record exactly.
Here is a PBEsol-optimized structure of NaBrO3 from the Alexandria database. Energies are from SCAN. Values from VASP.

```
&SYSTEM
  ibrav = 0, nat = 20, ntyp = 3
/
ATOMIC_SPECIES
Na 22.99 Na.upf
Br 79.90 Br.upf
O 16.00 O.upf
ATOMIC_POSITIONS crystal
Na 0.0779 0.0779 0.0779
Na 0.4221 0.9221 0.5779
Na 0.5779 0.4221 0.9221
Na 0.9221 0.5779 0.4221
Br 0.0969 0.5969 0.9031
Br 0.4031 0.4031 0.4031
Br 0.5969 0.9031 0.0969
Br 0.9031 0.0969 0.5969
O 0.0097 0.2174 0.4026
O 0.0974 0.9903 0.7174
O 0.2174 0.4026 0.0097
O 0.2826 0.5974 0.5097
O 0.4026 0.0097 0.2174
O 0.4903 0.7826 0.9026
O 0.5097 0.2826 0.5974
O 0.5974 0.5097 0.2826
O 0.7174 0.0974 0.9903
O 0.7826 0.9026 0.4903
O 0.9026 0.4903 0.7826
O 0.9903 0.7174 0.0974
CELL_PARAMETERS angstrom
6.6664 0.0000 0.0000
0.0000 6.6664 0.0000
0.0000 0.0000 6.6664
```

Calculated values
* space group: P2_13, No. 198
* total magnetization: 0.00 Bohr magnetons per cell
* volume: 14.81 A^3/atom
* formation energy (no corrections): -0.66 eV per atom



total magnetization of number 8 (Lu6WO12)? 0.00 Bohr magnetons per cell